1.
First-principles (PBE) data for an optimized crystal structure of HgRuRhS, as listed in Alexandria.

It has space group Pmm2 (No. 25), with a = 3.049 Å, b = 3.059 Å, c = 7.144 Å, α = 90.00°, β = 90.00° and γ = 90.00°. The distinct sites, in fractional coordinates, are Hg at (0.000, 0.000, 0.000), Ru at (0.000, 0.500, 0.348), Rh at (0.500, 0.500, 0.720) and S at (0.500, 0.000, 0.481).

The calculation puts the uncorrected formation energy at 72 meV per atom. The value obtained for the energy above the most stable polymorph in this dataset is 109 meV per atom.



2.
First-principles (PBE) data for an optimized crystal structure of HgRuRhS, as listed in Alexandria.

It has space group Cm (No. 8), with a = 7.841 Å, b = 3.199 Å, c = 6.945 Å, α = 90.00°, β = 121.86° and γ = 90.00°. The distinct sites, in fractional coordinates, are Hg at (0.000, 0.000, 0.000), Ru at (0.338, 0.500, 0.306), Rh at (0.263, 0.000, 0.586) and S at (0.034, 0.500, 0.547).

The calculation puts the uncorrected formation energy at 139 meV per atom. The value obtained for the energy above the most stable polymorph in this dataset is 176 meV per atom.



3.
First-principles (PBE) data for an optimized crystal structure of HgRuRhS, as listed in Alexandria.

It has space group Pmm2 (No. 25), with a = 3.314 Å, b = 4.517 Å, c = 4.800 Å, α = 90.00°, β = 90.00° and γ = 90.00°. The distinct sites, in fractional coordinates, are Hg at (0.000, 0.000, 0.000), Ru at (0.000, 0.500, 0.648), Rh at (0.500, 0.000, 0.502) and S at (0.500, 0.500, 0.351).

The calculation puts the uncorrected formation energy at 117 meV per atom. The value obtained for the energy above the most stable polymorph in this dataset is 154 meV per atom.



4.
First-principles (PBE) data for an optimized crystal structure of Sm5Hg2RuRh2, as listed in Alexandria.

It has space group P4/mbm (No. 127), with a = 11.747 Å, b = 11.747 Å, c = 3.609 Å, α = 90.00°, β = 90.00° and γ = 90.00°. The distinct sites, in fractional coordinates, are Sm at (0.000, 0.500, 0.000), Sm at (0.076, 0.192, 0.000), Hg at (0.176, 0.676, 0.500), Ru at (0.000, 0.000, 0.500) and Rh at (0.133, 0.367, 0.500).

The value obtained for the energy of formation is -446.7 meV/atom.



5.
First-principles (PBE) data for an optimized crystal structure of Tb4HgRuRh2, as listed in Alexandria.

It has space group R-3m (No. 166, hexagonal axes), with a = 4.9492 Å, b = 4.9492 Å, c = 24.4684 Å, α = 90.00°, β = 90.00° and γ = 120.00°. The distinct sites, in fractional coordinates, are Tb at (0.0000, 0.0000, 0.1179), Tb at (0.0000, 0.0000, 0.3706), Hg at (0.0000, 0.0000, 0.5000), Ru at (0.0000, 0.0000, 0.0000) and Rh at (0.0000, 0.0000, 0.2518).

The value obtained for the energy of formation is -608.4 meV/atom.



6.
First-principles (PBE) data for an optimized crystal structure of Tm4HgRuRh2, as listed in Alexandria.

It has space group R-3m (No. 166, hexagonal axes), with a = 4.8622 Å, b = 4.8622 Å, c = 24.0339 Å, α = 90.00°, β = 90.00° and γ = 120.00°. The distinct sites, in fractional coordinates, are Tm at (0.0000, 0.0000, 0.1179), Tm at (0.0000, 0.0000, 0.3705), Hg at (0.0000, 0.0000, 0.5000), Ru at (0.0000, 0.0000, 0.0000) and Rh at (0.0000, 0.0000, 0.2517).

The value obtained for the energy of formation is -693.1 meV/atom.



7.
First-principles (PBE) data for an optimized crystal structure of UHgRuRh, as listed in Alexandria.

It has space group F-43m (No. 216), with a = 6.638 Å, b = 6.638 Å, c = 6.638 Å, α = 90.00°, β = 90.00° and γ = 90.00°. The distinct sites, in fractional coordinates, are U at (0.000, 0.000, 0.000), Hg at (0.000, 0.000, 0.500), Ru at (0.250, 0.250, 0.750) and Rh at (0.250, 0.250, 0.250).

The value obtained for the energy of formation is -142.8 meV/atom.



8.
First-principles (PBE) data for an optimized crystal structure of Y5Hg2RuRh2, as listed in Alexandria.

It has space group P4/mbm (No. 127), with a = 11.600 Å, b = 11.600 Å, c = 3.541 Å, α = 90.00°, β = 90.00° and γ = 90.00°. The distinct sites, in fractional coordinates, are Y at (0.000, 0.500, 0.000), Y at (0.077, 0.191, 0.000), Hg at (0.174, 0.674, 0.500), Ru at (0.000, 0.000, 0.500) and Rh at (0.132, 0.368, 0.500).

The value obtained for the energy of formation is -488.9 meV/atom.



| no. | energy (eV/atom) |
| --- | --- |
| 1 | -5.192 |
| 2 | -5.125 |
| 3 | -5.147 |
| 4 | -5.265 |
| 5 | -5.959 |
| 6 | -5.964 |
| 7 | -7.197 |
| 8 | -6.179 |